A relaxed MnZn2CoH crystal. Source: the Alexandria database, functional PBE.

## Properties
Its density of states at the Fermi level is 3.78 states/eV per cell. As for the relative energy among the computed polymorphs: 6 meV per atom.

CIF file:
```
data_MnZn2CoH
_chemical_formula_sum 'Mn1 Zn2 Co1 H1'
_cell_length_a 4.0803
_cell_length_b 4.0803
_cell_length_c 3.2720
_cell_angle_alpha 90.00
_cell_angle_beta 90.00
_cell_angle_gamma 90.00
_symmetry_space_group_name_H-M 'P 4/m m m'
_symmetry_Int_Tables_number 123
_symmetry_space_group_name_Hall '-P 4 2'
loop_
_atom_site_label
_atom_site_type_symbol
_atom_site_fract_x
_atom_site_fract_y
_atom_site_fract_z
Mn1 Mn 0.0000 0.0000 0.0000
Zn1 Zn 0.0000 0.5000 0.5000
Co1 Co 0.5000 0.5000 0.0000
H1 H 0.5000 0.5000 0.5000
```